La2CoSnTe after structural relaxation. Source: Alexandria, functional PBE.

a b c (Å): 5.399 5.399 4.775
angles (deg): 90.00 90.00 90.00
Space group P4/mmm (No. 123)
Symmetry-distinct sites (fractional):
La1 0.000 0.500 0.000 x2
Co1 0.000 0.000 0.000 x1
Sn1 0.500 0.500 0.500 x1
Te1 0.000 0.000 0.500 x1

Total moment, μB/cell: 0.0
Formation energy from raw total energies, eV per atom: -0.53
D(E_F), states/eV per cell: 3.56

LaTlCoSn2 after structural relaxation. Source: Alexandria, functional PBE.

a b c (Å): 5.018 5.018 5.096
angles (deg): 90.00 90.00 90.00
Space group P4/mmm (No. 123)
Symmetry-distinct sites (fractional):
La1 0.000 0.000 0.000 x1
Tl1 0.500 0.500 0.000 x1
Co1 0.000 0.000 0.500 x1
Sn1 0.000 0.500 0.500 x2

Total moment, μB/cell: 0.0
D(E_F), states/eV per cell: 2.68
Calculated formation energy, eV per atom: -0.32

LaY2CoSn after structural relaxation. Source: Alexandria, functional PBE.

a b c (Å): 5.788 5.788 4.750
angles (deg): 90.00 90.00 90.00
Space group P4/mmm (No. 123)
Symmetry-distinct sites (fractional):
La1 0.000 0.000 0.000 x1
Y1 0.000 0.500 0.500 x2
Co1 0.500 0.500 0.000 x1
Sn1 0.500 0.500 0.500 x1

Total moment, μB/cell: 2.0
D(E_F), states/eV per cell: 7.58
Calculated formation energy, eV per atom: 0.41

LaY2CoSn after structural relaxation. Source: Alexandria, functional PBE.

a b c (Å): 5.252 5.252 5.040
angles (deg): 90.00 90.00 90.00
Space group P4/mmm (No. 123)
Symmetry-distinct sites (fractional):
La1 0.000 0.000 0.000 x1
Y1 0.000 0.500 0.500 x2
Co1 0.000 0.000 0.500 x1
Sn1 0.500 0.500 0.000 x1

Total moment, μB/cell: 0.0
D(E_F), states/eV per cell: 3.93
Calculated formation energy, eV per atom: -0.37